NbCrO4: relaxed, GGA+U.

Lattice parameters (Å, degrees): 4.552 11.791 4.972 90.00 90.00 90.00
Space group Pbcn (No. 60)
Symmetry-distinct sites (fractional):
1 Nb 0.000 0.171 0.250 [4 per cell]
2 Cr 0.000 0.434 0.250 [4 per cell]
3 O 0.230 0.309 0.076 [8 per cell]
4 O 0.241 0.439 0.584 [8 per cell]

## Properties
As for the total magnetic moment: 12.00 μB/cell. The raw total energy comes out at -8.527 eV per atom. For the volume, the calculation gives 266.9 Å³/cell.